A plane-wave DFT calculation with PBE+U was carried out for a relaxed NpAgWO6 crystal.

Its density of states at the Fermi level is 6.57 states/eV/f.u. The total energy is -7.82 eV per atom. For the calculated volume, the calculation gives 268 Å³ per cell. Its mass density is 7.737 g/cm3.

The space group is P-31c (No. 163) and the conventional cell measures 5.5692, 5.5692 and 9.9831 Å, with angles of 90.00, 90.00 and 120.00 degrees. The inequivalent atoms are Np at (0.3333, 0.6667, 0.2500), Ag at (0.0000, 0.0000, 0.0000), W at (0.3333, 0.6667, 0.7500) and O at (0.0241, 0.3842, 0.6435).